A relaxed structure of CaVS2O8. Source: the Alexandria database, functional PBE+U.

POSCAR file:
```
CaVS2O8
1.0
-3.4049 3.9008 0.1530
-1.6735 -4.8832 -0.4321
-0.2778 -0.5114 6.8544
O Ca S V
8 1 2 1
Cartesian
-2.1884 -3.7042 4.5611
-3.7794 -1.8495 4.6350
-2.8285 0.9713 -0.0224
-1.3786 -1.4066 4.7653
-2.5276 -2.4651 6.5978
-1.5768 0.3557 1.9404
-3.9775 -0.0872 1.8100
-3.1677 2.2104 2.0143
0.0000 0.0000 0.0000
-2.8880 0.8619 1.4444
-2.4681 -2.3557 5.1309
-0.1389 -0.2557 3.4272
```

## Properties
Calculated total energy: -6.624 eV/atom
Calculated volume: 13.32 Å³/atom
Density: 2.941 g cm⁻³